The following is a DFT calculation (GGA-PBE) of crystalline CaFe2Ni at its relaxed geometry.

Electronic total energy ... -5.743 eV per atom

Structure (POSCAR):
```
CaFe2Ni
1.0
5.3075 0.0090 0.0075
2.4127 4.7274 -0.0075
-3.2056 -3.4350 2.4687
Ni Ca Fe
1 1 2
Direct
0.5316 0.5316 0.0000
0.2520 0.7520 0.5000
0.9636 0.9636 0.0000
0.7528 0.2528 0.5000
```